Version one
The following is a PBE-GGA calculation of Ac4Ni after structural relaxation, from Alexandria.

Size of the total moment = 0.00 μB per cell

extended XYZ file:
```
10
Lattice="4.1182 -7.1721 0.0000 4.1182 7.1721 0.0000 0.0000 0.0000 6.7056" Properties=species:S:1:pos:R:3 pbc="T T T"
Ac 2.0591 1.2396 5.0292
Ac 4.1182 4.7050 5.0954
Ac 4.1182 2.4671 1.7426
Ac 2.0591 -1.2396 1.6764
Ac 6.1773 1.2396 5.0292
Ac 4.1182 -2.4671 4.9631
Ac 4.1182 -4.7050 1.6103
Ac 6.1773 -1.2396 1.6764
Ni 0.0000 0.0000 0.0000
Ni 4.1182 0.0000 3.3528
```

=====

Version two
The following is a PBE-GGA calculation of Ac4Ni after structural relaxation, from Alexandria.

Size of the total moment = 0.00 μB per cell

extended XYZ file:
```
5
Lattice="5.8611 0.0000 0.0000 0.0000 5.8611 0.0000 0.0000 0.0000 5.8611" Properties=species:S:1:pos:R:3 pbc="T T T"
Ac 0.0000 0.0000 0.0000
Ac 0.0000 2.9306 2.9306
Ac 2.9306 0.0000 2.9306
Ac 2.9306 2.9306 0.0000
Ni 2.9306 2.9306 2.9306
```

=====

Which of them is the most stable, and which is the least stable? version one and version two, in that order.

=====

Version one
The following is a PBE-GGA calculation of Ac2Ni3 after structural relaxation, from Alexandria.

Size of the total moment = 0.00 μB per cell

extended XYZ file:
```
5
Lattice="-2.2403 2.6391 4.5025 2.2403 -2.6391 4.5025 2.2403 2.6391 -4.5025" Properties=species:S:1:pos:R:3 pbc="T T T"
Ac 0.0000 0.0000 1.7058
Ac 0.0000 0.0000 7.2992
Ni 2.2403 1.4105 0.0000
Ni 0.0000 2.6391 0.0000
Ni 0.0000 1.2285 4.5025
```

=====

Version two
The following is a PBE-GGA calculation of Ac2Ni3 after structural relaxation, from Alexandria.

Size of the total moment = 0.00 μB per cell

extended XYZ file:
```
10
Lattice="2.0973 -13.0084 0.0000 2.0973 13.0084 0.0000 0.0000 0.0000 4.1819" Properties=species:S:1:pos:R:3 pbc="T T T"
Ac 2.0973 11.2368 3.1364
Ac 2.0973 7.8534 1.0455
Ac 2.0973 -7.8534 3.1364
Ac 2.0973 -11.2368 1.0455
Ni 2.0973 4.3293 1.0455
Ni 2.0973 3.0035 3.1364
Ni 2.0973 0.6025 3.1364
Ni 2.0973 -0.6025 1.0455
Ni 2.0973 -3.0035 1.0455
Ni 2.0973 -4.3293 3.1364
```

=====

Which of them is the most stable, and which is the least stable? version two and version one, in that order.

=====

Version one
The following is a PBE-GGA calculation of AcNi4 after structural relaxation, from Alexandria.

Size of the total moment = 0.49 μB per cell

extended XYZ file:
```
5
Lattice="4.8473 0.0000 0.0000 0.0000 4.8473 0.0000 0.0000 0.0000 4.8473" Properties=species:S:1:pos:R:3 pbc="T T T"
Ac 0.0000 0.0000 0.0000
Ni 0.0000 0.0000 2.4237
Ni 0.0000 2.4237 0.0000
Ni 2.4237 0.0000 0.0000
Ni 2.4237 2.4237 2.4237
```

=====

Version two
The following is a PBE-GGA calculation of AcNi4 after structural relaxation, from Alexandria.

Size of the total moment = 1.54 μB per cell

extended XYZ file:
```
20
Lattice="-4.3212 4.3212 4.3212 4.3212 -4.3212 4.3212 4.3212 4.3212 -4.3212" Properties=species:S:1:pos:R:3 pbc="T T T"
Ac 2.3668 2.3668 -2.3668
Ac 2.3668 -2.3668 2.3668
Ac 1.9544 1.9544 1.9544
Ac -2.3668 2.3668 2.3668
Ni 0.8313 0.8313 -0.8313
Ni 0.8313 -0.8313 0.8313
Ni 3.0891 0.0000 0.0000
Ni 5.5533 0.0000 0.0000
Ni -0.8313 0.8313 0.8313
Ni 4.3212 2.1606 0.0000
Ni 4.3212 0.0000 2.1606
Ni 0.0000 3.0891 0.0000
Ni 0.0000 0.0000 3.0891
Ni 2.1606 4.3212 0.0000
Ni 2.1606 0.0000 4.3212
Ni 0.0000 5.5533 0.0000
Ni 0.0000 0.0000 5.5533
Ni 0.0000 4.3212 2.1606
Ni 0.0000 2.1606 4.3212
Ni 3.4899 3.4899 3.4899
```

=====

Which of them is the most stable, and which is the least stable? version two and version one, in that order.

=====

Version one
The following is a PBE-GGA calculation of AcNi3P3 after structural relaxation, from Alexandria.

Size of the total moment = 0.00 μB per cell

extended XYZ file:
```
14
Lattice="6.2119 0.0000 0.0000 0.0000 6.2119 0.0000 0.0000 0.0000 6.2119" Properties=species:S:1:pos:R:3 pbc="T T T"
Ac 0.0000 0.0000 0.0000
Ac 3.1059 3.1059 3.1059
Ni 0.0000 1.5530 3.1059
Ni 0.0000 4.6589 3.1059
Ni 1.5530 3.1059 0.0000
Ni 3.1059 0.0000 1.5530
Ni 3.1059 0.0000 4.6589
Ni 4.6589 3.1059 0.0000
P 0.0000 3.1059 1.5530
P 0.0000 3.1059 4.6589
P 1.5530 0.0000 3.1059
P 3.1059 1.5530 0.0000
P 3.1059 4.6589 0.0000
P 4.6589 0.0000 3.1059
```

=====

Version two
The following is a PBE-GGA calculation of AcNi3P3 after structural relaxation, from Alexandria.

Size of the total moment = 0.00 μB per cell

extended XYZ file:
```
14
Lattice="3.2569 1.8804 7.0809 -3.2569 1.8804 7.0809 0.0000 -3.7608 7.0809" Properties=species:S:1:pos:R:3 pbc="T T T"
Ac 0.0000 0.0000 3.5514
Ac 0.0000 0.0000 17.6912
Ni -2.1886 -0.0036 7.8777
Ni -1.0912 -1.8972 13.3649
Ni 1.0974 -1.8936 7.8777
Ni -1.0974 1.8936 13.3649
Ni 1.0912 1.8972 7.8777
Ni 2.1886 0.0036 13.3649
P -1.0517 -1.8342 8.4960
P -2.1143 -0.0063 12.7465
P -1.0626 1.8279 8.4960
P 1.0626 -1.8279 12.7466
P 2.1143 0.0063 8.4960
P 1.0517 1.8342 12.7466
```

=====

Which of them is the most stable, and which is the least stable? version one and version two, in that order.

=====

Version one
The following is a PBE-GGA calculation of AcPaNi after structural relaxation, from Alexandria.

Size of the total moment = 0.00 μB per cell

extended XYZ file:
```
6
Lattice="-2.3897 2.7653 5.9347 2.3897 -2.7653 5.9347 2.3897 2.7653 -5.9347" Properties=species:S:1:pos:R:3 pbc="T T T"
Ac 0.0000 1.3827 1.4086
Ac 2.3897 1.3827 4.5261
Pa 2.3897 1.3827 -0.9576
Pa 0.0000 1.3827 6.8923
Ni 2.3897 -1.3827 3.5614
Ni 0.0000 4.1480 2.3733
```

=====

Version two
The following is a PBE-GGA calculation of AcPaNi after structural relaxation, from Alexandria.

Size of the total moment = 0.00 μB per cell

extended XYZ file:
```
3
Lattice="-1.7955 1.7955 6.0702 1.7955 -1.7955 6.0702 1.7955 1.7955 -6.0702" Properties=species:S:1:pos:R:3 pbc="T T T"
Ac 0.0000 0.0000 0.0000
Pa 0.0000 0.0000 8.7077
Ni 0.0000 0.0000 3.6232
```

=====

Which of them is the most stable, and which is the least stable? version two and version one, in that order.

=====

Version one
The following is a PBE-GGA calculation of Ac2NiPb3 after structural relaxation, from Alexandria.

Size of the total moment = 0.00 μB per cell

extended XYZ file:
```
6
Lattice="6.0472 -2.4736 0.0000 6.0472 2.4736 0.0000 -5.2884 0.0000 6.0370" Properties=species:S:1:pos:R:3 pbc="T T T"
Ac 0.0000 0.0000 0.0000
Ac -1.6359 0.0000 3.5548
Ni 1.5525 0.0000 3.2447
Pb 3.5268 0.0000 1.2284
Pb 3.1228 0.0000 5.4774
Pb 6.8883 0.0000 2.5197
```

=====

Version two
The following is a PBE-GGA calculation of Ac2NiPb3 after structural relaxation, from Alexandria.

Size of the total moment = 0.00 μB per cell

extended XYZ file:
```
6
Lattice="4.6876 0.0000 0.0000 0.0000 4.8773 0.0000 0.0000 0.0000 8.3236" Properties=species:S:1:pos:R:3 pbc="T T T"
Ac 0.0000 0.0000 0.0000
Ac 0.0000 2.4387 3.9665
Ni 2.3438 0.0000 2.2577
Pb 2.3438 0.0000 4.8906
Pb 2.3438 2.4387 1.4742
Pb 2.3438 2.4387 6.7516
```

=====

Which of them is the most stable, and which is the least stable? version one and version two, in that order.

=====

Version one
The following is a PBE-GGA calculation of AcNiPb after structural relaxation, from Alexandria.

Size of the total moment = 0.00 μB per cell

extended XYZ file:
```
6
Lattice="6.2998 -2.2303 0.0000 6.2998 2.2303 0.0000 -0.6727 0.0000 5.6977" Properties=species:S:1:pos:R:3 pbc="T T T"
Ac 1.3801 0.0000 1.7757
Ac 10.5469 0.0000 3.9219
Ni 2.2411 0.0000 4.9546
Ni 9.6859 0.0000 0.7430
Pb 4.9095 0.0000 1.1214
Pb 7.0174 0.0000 4.5763
```

=====

Version two
The following is a PBE-GGA calculation of AcNiPb after structural relaxation, from Alexandria.

Size of the total moment = 0.00 μB per cell

extended XYZ file:
```
3
Lattice="0.0000 3.4718 3.4718 3.4718 0.0000 3.4718 3.4718 3.4718 0.0000" Properties=species:S:1:pos:R:3 pbc="T T T"
Ac 0.0000 0.0000 0.0000
Ni 1.7359 1.7359 1.7359
Pb 3.4718 3.4718 3.4718
```

=====

Which of them is the most stable, and which is the least stable? version one and version two, in that order.

=====

Version one
The following is a PBE-GGA calculation of AcNiPb after structural relaxation, from Alexandria.

Size of the total moment = 0.00 μB per cell

extended XYZ file:
```
3
Lattice="4.6769 0.0000 0.0000 -2.3384 4.0503 0.0000 0.0000 0.0000 4.3222" Properties=species:S:1:pos:R:3 pbc="T T T"
Ac 0.0000 0.0000 0.0000
Ni 0.0000 2.7002 2.1611
Pb 2.3384 1.3501 2.1611
```

=====

Version two
The following is a PBE-GGA calculation of AcNiPb after structural relaxation, from Alexandria.

Size of the total moment = 0.00 μB per cell

extended XYZ file:
```
3
Lattice="-1.7851 1.7851 6.0754 1.7851 -1.7851 6.0754 1.7851 1.7851 -6.0754" Properties=species:S:1:pos:R:3 pbc="T T T"
Ac 0.0000 0.0000 0.0000
Ni 0.0000 0.0000 7.9765
Pb 0.0000 0.0000 3.3781
```

=====

Which of them is the most stable, and which is the least stable? version one and version two, in that order.

=====

Version one
The following is a PBE-GGA calculation of Ac3Ni2Pb4 after structural relaxation, from Alexandria.

Size of the total moment = 0.00 μB per cell

extended XYZ file:
```
9
Lattice="6.2389 -2.4129 0.0000 6.2389 2.4129 0.0000 -1.5461 0.0000 9.0723" Properties=species:S:1:pos:R:3 pbc="T T T"
Ac 0.0000 0.0000 0.0000
Ac 3.9031 0.0000 3.1000
Ac 7.0286 0.0000 5.9722
Ni 4.0713 0.0000 6.5642
Ni 6.8604 0.0000 2.5080
Pb 0.3998 0.0000 3.4596
Pb 2.0689 0.0000 8.2343
Pb 8.8629 0.0000 0.8380
Pb 10.5319 0.0000 5.6126
```

=====

Version two
The following is a PBE-GGA calculation of Ac3Ni2Pb4 after structural relaxation, from Alexandria.

Size of the total moment = 0.00 μB per cell

extended XYZ file:
```
9
Lattice="6.0902 -2.3581 0.0000 6.0902 2.3581 0.0000 -1.6024 0.0000 9.1633" Properties=species:S:1:pos:R:3 pbc="T T T"
Ac 0.0000 0.0000 0.0000
Ac 4.1190 0.0000 2.8487
Ac 6.4590 0.0000 6.3145
Ni 2.5812 0.0000 5.3051
Ni 7.9968 0.0000 3.8581
Pb 0.5672 0.0000 3.5082
Pb 2.1257 0.0000 8.2453
Pb 8.4523 0.0000 0.9179
Pb 10.0108 0.0000 5.6551
```

=====

Which of them is the most stable, and which is the least stable? version two and version one, in that order.

=====

Version one
The following is a PBE-GGA calculation of Ac2Ni2Pd after structural relaxation, from Alexandria.

Size of the total moment = 0.00 μB per cell

extended XYZ file:
```
10
Lattice="5.5817 -2.1525 0.0000 5.5817 2.1525 0.0000 -4.9729 0.0000 10.0477" Properties=species:S:1:pos:R:3 pbc="T T T"
Ac -0.9172 0.0000 3.9827
Ac -0.8886 0.0000 8.6546
Ac 7.0791 0.0000 1.3931
Ac 7.1078 0.0000 6.0651
Ni -4.1661 0.0000 9.2107
Ni 2.2951 0.0000 4.0385
Ni 3.8955 0.0000 6.0092
Ni 10.3567 0.0000 0.8370
Pd 3.7930 0.0000 1.8556
Pd 2.3976 0.0000 8.1921
```

=====

Version two
The following is a PBE-GGA calculation of Ac2Ni2Pd after structural relaxation, from Alexandria.

Size of the total moment = 0.00 μB per cell

extended XYZ file:
```
20
Lattice="7.5428 0.0000 0.0000 0.0000 7.5428 0.0000 0.0000 0.0000 8.0683" Properties=species:S:1:pos:R:3 pbc="T T T"
Ac 1.4000 2.3722 0.0000
Ac 1.3993 2.3714 4.0341
Ac 2.3722 6.1428 0.0000
Ac 2.3714 6.1436 4.0341
Ac 5.1707 1.4000 0.0000
Ac 5.1714 1.3993 4.0341
Ac 6.1428 5.1707 0.0000
Ac 6.1436 5.1714 4.0341
Ni 0.8433 4.6147 2.0171
Ni 0.8433 4.6147 6.0512
Ni 2.9281 0.8433 2.0171
Ni 2.9281 0.8433 6.0512
Ni 4.6147 6.6995 2.0171
Ni 4.6147 6.6995 6.0512
Ni 6.6995 2.9281 2.0171
Ni 6.6995 2.9281 6.0512
Pd 0.0000 0.0000 2.0132
Pd 0.0000 0.0000 6.0550
Pd 3.7714 3.7714 2.0209
Pd 3.7714 3.7714 6.0474
```

=====

Which of them is the most stable, and which is the least stable? version one and version two, in that order.

=====

Version one
The following is a PBE-GGA calculation of Ac4NiPd2 after structural relaxation, from Alexandria.

Size of the total moment = 0.00 μB per cell

extended XYZ file:
```
7
Lattice="-2.7652 2.7652 7.6182 2.7652 -2.7652 7.6182 2.7652 2.7652 -7.6182" Properties=species:S:1:pos:R:3 pbc="T T T"
Ac 2.7652 0.0000 0.0000
Ac 0.0000 0.0000 2.9907
Ac 0.0000 2.7652 0.0000
Ac 0.0000 0.0000 12.2458
Ni 0.0000 0.0000 0.0000
Pd 0.0000 0.0000 5.8795
Pd 0.0000 0.0000 9.3570
```

=====

Version two
The following is a PBE-GGA calculation of Ac4NiPd2 after structural relaxation, from Alexandria.

Size of the total moment = 0.00 μB per cell

extended XYZ file:
```
7
Lattice="7.8899 -2.2331 0.0000 7.8899 2.2331 0.0000 -3.6807 0.0000 6.6985" Properties=species:S:1:pos:R:3 pbc="T T T"
Ac 0.9183 0.0000 1.8557
Ac 5.1415 0.0000 1.3060
Ac 6.9574 0.0000 5.3925
Ac 11.1807 0.0000 4.8428
Ni 7.8899 0.0000 0.0000
Pd 1.1284 0.0000 4.9804
Pd 10.9706 0.0000 1.7181
```

=====

Which of them is the most stable, and which is the least stable? version two and version one, in that order.

=====

Version one
The following is a PBE-GGA calculation of AcNiPd after structural relaxation, from Alexandria.

Size of the total moment = 0.00 μB per cell

extended XYZ file:
```
6
Lattice="-2.0904 2.1312 7.7094 2.0904 -2.1312 7.7094 2.0904 2.1312 -7.7094" Properties=species:S:1:pos:R:3 pbc="T T T"
Ac 0.0000 1.0656 1.9824
Ac 2.0904 1.0656 5.7271
Ni 2.0904 1.0656 -3.3538
Ni 0.0000 1.0656 11.0633
Pd 2.0904 1.0656 -0.8363
Pd 0.0000 1.0656 8.5458
```

=====

Version two
The following is a PBE-GGA calculation of AcNiPd after structural relaxation, from Alexandria.

Size of the total moment = 0.00 μB per cell

extended XYZ file:
```
3
Lattice="4.3795 0.0000 0.0000 -2.1897 3.7927 0.0000 0.0000 0.0000 4.1275" Properties=species:S:1:pos:R:3 pbc="T T T"
Ac 0.0000 0.0000 0.0000
Ni 0.0000 2.5285 2.0637
Pd 2.1897 1.2642 2.0637
```

=====

Which of them is the most stable, and which is the least stable? version one and version two, in that order.